Run i
First-principles (meta-GGA SCAN) data for a crystal of Tl2AsRh relaxed with PBEsol, as listed in Alexandria via LeMat-Bulk.

```
Tl2AsRh
1.0
3.3306 0.0000 0.0000
-1.6653 4.1286 0.0172
0.0000 -2.2558 6.7057
Tl Rh As
2 1 1
Cartesian
0.0000 0.4310 0.2524
0.0000 0.4130 4.7864
1.6653 1.1784 2.5282
0.0000 2.8512 2.5259
```

Values from the calculation:
Size of the total moment = 0.0 μB/cell

=====

Run ii
First-principles (meta-GGA SCAN) data for a crystal of Tl2AsRh relaxed with PBEsol, as listed in Alexandria via LeMat-Bulk.

```
Tl2AsRh
1.0
4.8350 0.0000 0.0000
2.4175 4.1872 0.0000
2.4175 1.3957 3.9477
Tl Rh As
2 1 1
Cartesian
2.4175 1.3957 0.9869
7.2524 4.1872 2.9608
4.8350 2.7915 1.9739
0.0000 0.0000 0.0000
```

Values from the calculation:
Size of the total moment = 0.0 μB/cell

=====

Most stable structure - run i; separation to the second - 580 meV/atom.